Record 1
Cs4CaU3O12: relaxed, PBE-GGA.

Cell and atoms, written as POSCAR:
```
Cs4CaU3O12
1.0
-4.445 4.445 4.445
4.445 -4.445 4.445
4.445 4.445 -4.445
Cs Ca U O
4 1 3 12
Cartesian
2.222 2.222 -2.222 Cs
2.222 -2.222 2.222 Cs
-2.222 2.222 2.222 Cs
2.222 2.222 2.222 Cs
0.000 0.000 0.000 Ca
4.445 0.000 0.000 U
0.000 4.445 0.000 U
0.000 0.000 4.445 U
2.480 0.000 0.000 O
6.410 0.000 0.000 O
4.445 2.222 0.000 O
4.445 0.000 2.222 O
0.000 2.480 0.000 O
0.000 0.000 2.480 O
2.222 4.445 0.000 O
2.222 0.000 4.445 O
0.000 6.410 0.000 O
0.000 0.000 6.410 O
0.000 4.445 2.222 O
0.000 2.222 4.445 O
```


Record 2
Cs2CaUO6: relaxed, PBE-GGA.

Cell and atoms, written as POSCAR:
```
Cs2CaUO6
1.0
0.000 4.489 4.489
4.489 0.000 4.489
4.489 4.489 0.000
Cs Ca U O
2 1 1 6
Cartesian
2.245 2.245 2.245 Cs
6.734 6.734 6.734 Cs
0.000 0.000 0.000 Ca
4.489 4.489 4.489 U
4.489 4.489 2.432 O
4.489 2.432 4.489 O
6.546 4.489 4.489 O
2.432 4.489 4.489 O
4.489 6.546 4.489 O
4.489 4.489 6.546 O
```


no.,volume (Å³/f.u.),Fermi-level density of states (states/eV per cell),ΔE_f (raw) (eV/atom)
1,351.2,0.0,-2.78
2,180.9,6.8,-2.29